Computed, not measured: an optimized crystal structure of KZnInAu at the PBE level of DFT.

E = -2.249 eV/atom
space-group type = Cm
magnetic moment = 0.00 μB/f.u.

Cell: 4.6401 4.6401 6.9940 Å, 90.19 90.19 60.01°
Fractional positions:
K: 0.0000 0.0000 0.0000
Zn: 0.6676 0.6676 0.3479
In: 0.0013 0.0013 0.5003
Au: 0.3342 0.3342 0.3567


Computed, not measured: an optimized crystal structure of KZnIn2Au4 at the PBE level of DFT.

E = -2.821 eV/atom
space-group type = R-3m
magnetic moment = 0.00 μB/f.u.

Cell: 10.4650 10.4650 10.4650 Å, 25.79 25.79 25.79°
Fractional positions:
K: 0.0000 0.0000 0.0000
Zn: 0.5000 0.5000 0.5000
In: 0.2425 0.2425 0.2425
In: 0.7575 0.7575 0.7575
Au: 0.1436 0.1436 0.1436
Au: 0.4095 0.4095 0.4095
Au: 0.5905 0.5905 0.5905
Au: 0.8564 0.8564 0.8564


Computed, not measured: an optimized crystal structure of LaInAu2 at the PBE level of DFT.

E = -4.074 eV/atom
space-group type = Cm
magnetic moment = 0.00 μB/f.u.

Cell: 5.0566 5.0566 5.4633 Å, 108.04 108.04 49.37°
Fractional positions:
La: 0.0000 0.0000 0.0000
In: 0.2253 0.2253 0.6444
Au: 0.4980 0.4980 0.4956
Au: 0.7586 0.7586 0.2809


Computed, not measured: an optimized crystal structure of La8InAu2 at the PBE level of DFT.

energy above the lowest structure with this stoichiometry = 0.000 eV/atom
space-group type = C2/m
magnetic moment = 0.00 μB/f.u.

Cell: 9.4844 9.4844 8.2379 Å, 113.20 113.20 31.42°
Fractional positions:
La: 0.0404 0.0404 0.2612
La: 0.1841 0.1841 0.7864
La: 0.3208 0.3208 0.5305
La: 0.4117 0.4117 0.0412
La: 0.5883 0.5883 0.9588
La: 0.6792 0.6792 0.4695
La: 0.8159 0.8159 0.2136
La: 0.9596 0.9596 0.7388
In: 0.5000 0.5000 0.5000
Au: 0.1893 0.1893 0.1593
Au: 0.8107 0.8107 0.8407


Computed, not measured: an optimized crystal structure of La3In2Au7 at the PBE level of DFT.

E = -4.097 eV/atom
space-group type = I4/mmm
magnetic moment = 0.00 μB/f.u.

Cell: 15.5315 15.5315 15.5315 Å, 163.68 163.68 23.15°
Fractional positions:
La: 0.0000 0.0000 0.0000
La: 0.1789 0.1789 0.0000
La: 0.8211 0.8211 0.0000
In: 0.3704 0.3704 0.0000
In: 0.6296 0.6296 0.0000
Au: 0.0743 0.5743 0.5000
Au: 0.2783 0.2783 0.0000
Au: 0.4257 0.9257 0.5000
Au: 0.5000 0.5000 0.0000
Au: 0.5743 0.0743 0.5000
Au: 0.7217 0.7217 0.0000
Au: 0.9257 0.4257 0.5000


Computed, not measured: an optimized crystal structure of LaIn3Au2 at the PBE level of DFT.

E = -3.779 eV/atom
space-group type = C2/m
magnetic moment = 0.00 μB/f.u.

Cell: 8.9385 8.9385 8.7405 Å, 119.19 119.19 29.48°
Fractional positions:
La: 0.1290 0.1290 0.1392
La: 0.8710 0.8710 0.8608
In: 0.0133 0.0133 0.6694
In: 0.3263 0.3263 0.1230
In: 0.3358 0.3358 0.5245
In: 0.6642 0.6642 0.4755
In: 0.6737 0.6737 0.8770
In: 0.9867 0.9867 0.3306
Au: 0.2100 0.2100 0.7090
Au: 0.4977 0.4977 0.1560
Au: 0.5023 0.5023 0.8440
Au: 0.7900 0.7900 0.2910


Computed, not measured: an optimized crystal structure of LaInAu at the PBE level of DFT.

E = -4.363 eV/atom
space-group type = Pmma
magnetic moment = 0.00 μB/f.u.

Cell: 14.2427 4.1707 7.9504 Å, 90.00 90.00 90.00°
Fractional positions:
La: 0.0470 0.0000 0.2420
La: 0.2500 0.0000 0.8520
La: 0.4530 0.0000 0.2420
La: 0.5470 0.0000 0.7580
La: 0.7500 0.0000 0.1480
La: 0.9530 0.0000 0.7580
In: 0.1211 0.5000 0.5687
In: 0.2500 0.5000 0.1962
In: 0.3789 0.5000 0.5687
In: 0.6211 0.5000 0.4313
In: 0.7500 0.5000 0.8038
In: 0.8789 0.5000 0.4313
Au: 0.0948 0.5000 0.9405
Au: 0.2500 0.0000 0.4470
Au: 0.4052 0.5000 0.9405
Au: 0.5948 0.5000 0.0595
Au: 0.7500 0.0000 0.5530
Au: 0.9052 0.5000 0.0595


Computed, not measured: an optimized crystal structure of LaInAu2 at the PBE level of DFT.

E = -4.037 eV/atom
space-group type = P4mm
magnetic moment = 0.00 μB/f.u.

Cell: 3.8729 3.8729 6.5900 Å, 90.00 90.00 90.00°
Fractional positions:
La: 0.0000 0.0000 0.0000
In: 0.5000 0.5000 0.6552
Au: 0.0000 0.0000 0.4925
Au: 0.5000 0.5000 0.2227


What is the formula in the third record?
LaInAu2


Which value of magnetic moment does entry 1 give?
0.00 μB/f.u.